(1)
Entry from Alexandria: Ca2Ga3Hg2 after structural relaxation (PBE).

Cell: 11.3133 4.5808 6.8776 Å, 90.00 113.69 90.00°
Last column: nearest neighbours and their distance in Å.
Space group C2/m (No. 12)
Asymmetric unit:
Ca (0.1439, 0.0000, 0.2712) [4 per cell]  4 Hg 3.22-3.41, 6 Ga 3.23-3.53
Ga (0.0000, 0.5000, 0.5000) [2 per cell]  2 Ga 2.61
Ga (0.0807, 0.5000, 0.9132) [4 per cell]  2 Ga 2.55-2.61, 2 Hg 2.85
Hg (0.1642, 0.0000, 0.7576) [4 per cell]  5 Ga 2.85-3.03


(2)
Entry from Alexandria: CaZnN after structural relaxation (PBE).

Cell: 3.4802 3.4802 7.9403 Å, 90.00 90.00 90.00°
Last column: nearest neighbours and their distance in Å.
Space group P4/nmm (No. 129, origin choice 2)
Asymmetric unit:
Ca (0.2500, 0.2500, 0.1470) [2 per cell]  5 N 2.47-2.49
Zn (0.2500, 0.2500, 0.5918) [2 per cell]  1 N 1.92
N (0.2500, 0.2500, 0.8331) [2 per cell]  1 Zn 1.92

## Properties
Energy relative to the elements, uncorrected (kJ/mol of atoms): -47


(3)
Entry from Alexandria: LiTa2P after structural relaxation (PBE).

Cell: 2.8589 3.8643 12.1846 Å, 90.00 90.00 90.00°
Last column: nearest neighbours and their distance in Å.
Space group Immm (No. 71)
Asymmetric unit:
Li (0.0000, 0.0000, 0.0000) [2 per cell]  4 P 2.40
Ta (0.0000, 0.5000, 0.1804) [4 per cell]  2 P 2.62, 2 Ta 2.86, 2 Li 2.93
P (0.0000, 0.0000, 0.5000) [2 per cell]  4 Li 2.40, 4 Ta 2.62


(4)
Entry from Alexandria: La2Al3CdCu12 after structural relaxation (PBE).

Cell: 6.4107 6.4107 27.1622 Å, 90.00 90.00 120.00°
Last column: nearest neighbours and their distance in Å.
Space group R-3m (No. 166, hexagonal axes)
Asymmetric unit:
La (0.0000, 0.0000, 0.1403) [6 per cell]  6 Cu 3.03-3.05
Al (0.0000, 0.5000, 0.0000) [9 per cell]  6 Cu 2.40-2.63
Cd (0.0000, 0.0000, 0.5000) [3 per cell]  6 Cu 2.89
Cu (0.0564, 0.5282, 0.9039) [18 per cell]  4 Cu 2.52-2.66, 1 Al 2.63
Cu (0.0815, 0.5408, 0.6252) [18 per cell]  2 Al 2.40, 6 Cu 2.42-2.65


(5)
Entry from Alexandria: Sr2CdHPd6 after structural relaxation (PBE).

Cell: 5.8341 5.8341 19.3940 Å, 90.00 90.00 120.00°
Last column: nearest neighbours and their distance in Å.
Space group R-3m (No. 166, hexagonal axes)
Asymmetric unit:
Sr (0.0000, 0.0000, 0.2250) [6 per cell]  6 Pd 3.09
Cd (0.0000, 0.0000, 0.5000) [3 per cell]  6 Pd 2.71
H (0.0000, 0.0000, 0.0000) [3 per cell]  6 Pd 2.02
Pd (0.0040, 0.5020, 0.2772) [18 per cell]  1 H 2.02


(6)
Entry from Alexandria: ZrPa2Cu after structural relaxation (PBE).

Cell: 3.0478 3.0478 9.3637 Å, 90.00 90.00 90.00°
Last column: nearest neighbours and their distance in Å.
Space group P4/mmm (No. 123)
Asymmetric unit:
Zr (0.0000, 0.0000, 0.0000) [1 per cell]  4 Zr 3.05, 8 Pa 3.36
Pa (0.5000, 0.5000, 0.2757) [2 per cell]  4 Cu 3.01, 4 Pa 3.05, 4 Zr 3.36
Cu (0.0000, 0.0000, 0.5000) [1 per cell]  8 Pa 3.01, 4 Cu 3.05

## Properties
Distance to the lowest polymorph of the same formula (eV/atom): 0.000


(7)
Entry from Alexandria: AcIn3Hg6 after structural relaxation (PBE).

Cell: 9.7975 5.0662 11.5509 Å, 90.00 107.42 90.00°
Last column: nearest neighbours and their distance in Å.
Space group P2_1/m (No. 11)
Asymmetric unit:
Ac (0.0136, 0.2500, 0.2300) [2 per cell]  9 Hg 3.39-3.48, 3 In 3.73-3.79
In (0.0829, 0.2500, 0.5708) [2 per cell]  3 Hg 3.15-3.31, 3 In 3.18-3.49
In (0.3936, 0.2500, 0.4820) [2 per cell]  4 Hg 3.05-3.22, 2 In 3.23
In (0.3995, 0.7500, 0.9528) [2 per cell]  6 Hg 3.10-3.41, 2 In 3.19
Hg (0.1392, 0.7500, 0.0816) [2 per cell]  6 Hg 3.25-3.47, 1 In 3.32, 3 Ac 3.46-3.48
Hg (0.2080, 0.2500, 0.9020) [2 per cell]  2 In 3.10, 5 Hg 3.23-3.47, 2 Ac 3.39
Hg (0.2313, 0.7500, 0.3762) [2 per cell]  3 In 3.05-3.31, 2 Hg 3.21-3.25
Hg (0.2757, 0.7500, 0.6634) [2 per cell]  3 Hg 3.15-3.21, 3 In 3.15-3.20, 1 Ac 3.41
Hg (0.3460, 0.2500, 0.1938) [2 per cell]  5 Hg 3.08-3.26, 2 In 3.22-3.41, 1 Ac 3.40
Hg (0.4671, 0.2500, 0.7596) [2 per cell]  2 In 3.07-3.19, 5 Hg 3.08-3.41


(8)
Entry from Alexandria: LiNd2Al12Co3 after structural relaxation (PBE).

Cell: 8.4588 8.4588 18.4753 Å, 90.00 90.00 120.00°
Last column: nearest neighbours and their distance in Å.
Space group R-3m (No. 166, hexagonal axes)
Asymmetric unit:
Li (0.0000, 0.0000, 0.0000) [3 per cell]  12 Al 3.16-3.18
Nd (0.0000, 0.0000, 0.4174) [6 per cell]  6 Al 3.05-3.32, 1 Nd 3.05
Al (0.0838, 0.5419, 0.3812) [18 per cell]  1 Co 2.28
Al (0.0954, 0.5477, 0.8092) [18 per cell]  2 Co 2.22
Co (0.0000, 0.5000, 0.5000) [9 per cell]  6 Al 2.22-2.28


(9)
Entry from Alexandria: HfNbP2O after structural relaxation (PBE).

Cell: 5.0121 5.0121 3.8499 Å, 90.00 90.00 90.00°
Last column: nearest neighbours and their distance in Å.
Space group P4/mmm (No. 123)
Asymmetric unit:
Hf (0.0000, 0.0000, 0.0000) [1 per cell]  2 O 1.92
Nb (0.5000, 0.5000, 0.5000) [1 per cell]  8 P 3.16
P (0.0000, 0.5000, 0.0000) [2 per cell]  2 Hf 2.51
O (0.0000, 0.0000, 0.5000) [1 per cell]  2 Hf 1.92

## Properties
Distance to the lowest polymorph of the same formula (eV/atom): 0.227
Energy relative to the elements, uncorrected (kJ/mol of atoms): -37


(10)
Entry from Alexandria: AcNdLu after structural relaxation (PBE).

Cell: 3.7649 3.7649 15.3583 Å, 90.00 90.00 90.00°
Last column: nearest neighbours and their distance in Å.
Space group I4mm (No. 107)
Asymmetric unit:
Ac (0.0000, 0.0000, 0.0000) [2 per cell]  4 Lu 3.72, 4 Ac 3.76, 4 Nd 3.80
Nd (0.0000, 0.0000, 0.3232) [2 per cell]  4 Lu 3.56, 4 Nd 3.76, 4 Ac 3.80
Lu (0.0000, 0.0000, 0.6693) [2 per cell]  4 Nd 3.56, 4 Ac 3.72, 4 Lu 3.76

## Properties
Distance to the lowest polymorph of the same formula (eV/atom): 0.000


(11)
Entry from Alexandria: ZrCu2Pb after structural relaxation (PBE).

Cell: 3.4092 3.5870 6.2381 Å, 90.00 90.00 90.00°
Last column: nearest neighbours and their distance in Å.
Space group Pmmm (No. 47)
Asymmetric unit:
Zr (0.0000, 0.0000, 0.0000) [1 per cell]  8 Cu 2.81, 2 Pb 3.12
Cu (0.5000, 0.5000, 0.2142) [2 per cell]  1 Cu 2.67, 4 Zr 2.81
Pb (0.0000, 0.0000, 0.5000) [1 per cell]  8 Cu 3.05, 2 Zr 3.12, 2 Pb 3.41


(12)
Entry from Alexandria: HoBePb after structural relaxation (PBE).

Cell: 4.4492 16.7753 3.9057 Å, 90.00 90.00 90.00°
Last column: nearest neighbours and their distance in Å.
Space group Cmcm (No. 63)
Asymmetric unit:
Ho (0.0000, 0.0800, 0.2500) [4 per cell]  6 Be 2.86-3.09, 2 Pb 3.18
Be (0.0000, 0.4727, 0.2500) [4 per cell]  2 Be 2.16
Pb (0.0000, 0.2845, 0.7500) [4 per cell]  4 Pb 3.18, 2 Ho 3.18


(13)
Entry from Alexandria: CeScAu after structural relaxation (PBE).

Cell: 4.8251 4.8251 3.6993 Å, 90.00 90.00 120.00°
Last column: nearest neighbours and their distance in Å.
Space group P-6m2 (No. 187)
Asymmetric unit:
Ce (0.0000, 0.0000, 0.0000) [1 per cell]  6 Au 3.34, 6 Sc 3.34, 2 Ce 3.70
Sc (0.6667, 0.3333, 0.5000) [1 per cell]  3 Au 2.79
Au (0.3333, 0.6667, 0.5000) [1 per cell]  3 Sc 2.79

## Properties
Distance to the lowest polymorph of the same formula (eV/atom): 0.144


(14)
Entry from Alexandria: CaPmGaRh after structural relaxation (PBE).

Cell: 4.0860 4.1420 11.4802 Å, 90.00 90.00 90.00°
Last column: nearest neighbours and their distance in Å.
Space group Amm2 (No. 38)
Asymmetric unit:
Ca (0.0000, 0.0000, 0.0000) [2 per cell]  4 Ga 3.06, 3 Rh 3.19-3.29
Pm (0.5000, 0.0000, 0.2870) [2 per cell]  4 Rh 3.00, 2 Ga 3.12
Ga (0.5000, 0.0000, 0.5835) [2 per cell]  2 Rh 2.59
Rh (0.0000, 0.0000, 0.7222) [2 per cell]  2 Ga 2.59

## Properties
Distance to the lowest polymorph of the same formula (eV/atom): 0.000


(15)
Entry from Alexandria: Rb2In2Au after structural relaxation (PBE).

Cell: 7.4678 7.4678 6.3018 Å, 90.00 90.00 90.00°
Last column: nearest neighbours and their distance in Å.
Space group P4/mbm (No. 127)
Asymmetric unit:
Rb (0.1843, 0.3157, 0.0000) [4 per cell]  6 In 3.66-3.99, 5 Rb 3.86-3.89
In (0.1393, 0.6393, 0.5000) [4 per cell]  2 Au 2.89, 1 In 2.94
Au (0.0000, 0.0000, 0.5000) [2 per cell]  4 In 2.89

## Properties
Distance to the lowest polymorph of the same formula (eV/atom): 0.089


(16)
Entry from Alexandria: MnP2W after structural relaxation (PBE).

Cell: 3.1199 3.1199 5.3338 Å, 90.00 90.00 90.00°
Last column: nearest neighbours and their distance in Å.
Space group P4mm (No. 99)
Asymmetric unit:
Mn (0.0000, 0.0000, 0.0000) [1 per cell]  5 P 2.35-2.38
P (0.0000, 0.0000, 0.4468) [1 per cell]  1 Mn 2.38, 4 W 2.46
P (0.5000, 0.5000, 0.1510) [1 per cell]  4 Mn 2.35
W (0.5000, 0.5000, 0.6515) [1 per cell]  6 P 2.46-2.67


(17)
Entry from Alexandria: TlBi5Pd6 after structural relaxation (PBE).

Cell: 7.9957 13.7088 5.4642 Å, 90.00 117.36 90.00°
Last column: nearest neighbours and their distance in Å.
Space group C2/m (No. 12)
Asymmetric unit:
Tl (0.0000, 0.0000, 0.0000) [2 per cell]  2 Pd 2.76
Bi (0.0000, 0.1373, 0.5000) [4 per cell]  6 Pd 2.92-3.02
Bi (0.0000, 0.3131, 0.0000) [4 per cell]  8 Pd 2.90-3.22
Bi (0.0000, 0.5000, 0.5000) [2 per cell]  8 Pd 2.85-3.16
Pd (0.1987, 0.5000, 0.1152) [4 per cell]  1 Tl 2.76, 1 Pd 2.83, 5 Bi 2.93-3.02
Pd (0.2055, 0.3219, 0.6620) [8 per cell]  5 Bi 2.85-2.99, 2 Pd 2.93-2.95


(18)
Entry from Alexandria: Cs2YBiSe4 after structural relaxation (PBE).

Cell: 7.2187 15.6187 25.6980 Å, 90.00 90.00 90.00°
Last column: nearest neighbours and their distance in Å.
Space group Fddd (No. 70, origin choice 2)
Asymmetric unit:
Cs (0.1250, 0.1250, 0.3068) [16 per cell]  8 Se 3.93-4.39
Y (0.1250, 0.1250, 0.1250) [8 per cell]  4 Se 2.72
Bi (0.1250, 0.1250, 0.6250) [8 per cell]  4 Se 2.85
Se (0.1114, 0.2739, 0.4298) [32 per cell]  1 Y 2.72, 1 Bi 2.85

## Properties
Energy relative to the elements, uncorrected (kJ/mol of atoms): -107


(19)
Entry from Alexandria: BeCrMo2Pb after structural relaxation (PBE).

Cell: 4.3396 4.3396 4.1604 Å, 90.00 90.00 90.00°
Last column: nearest neighbours and their distance in Å.
Space group P4/mmm (No. 123)
Asymmetric unit:
Be (0.0000, 0.0000, 0.0000) [1 per cell]  2 Cr 2.08, 4 Mo 2.17
Cr (0.0000, 0.0000, 0.5000) [1 per cell]  2 Be 2.08
Mo (0.0000, 0.5000, 0.0000) [2 per cell]  2 Be 2.17
Pb (0.5000, 0.5000, 0.5000) [1 per cell]  8 Mo 3.01, 4 Cr 3.07


(20)
Entry from Alexandria: NbAs2Ir after structural relaxation (PBE).

Cell: 5.8346 5.8346 10.6966 Å, 90.00 90.00 90.00°
Last column: nearest neighbours and their distance in Å.
Space group I-42d (No. 122)
Asymmetric unit:
Nb (0.0000, 0.0000, 0.0000) [4 per cell]  4 As 2.53
As (0.2286, 0.2500, 0.6250) [8 per cell]  2 Ir 2.39, 2 Nb 2.53
Ir (0.0000, 0.0000, 0.5000) [4 per cell]  4 As 2.39

## Properties
Distance to the lowest polymorph of the same formula (eV/atom): 0.306


no.,electronic total energy (eV for the cell shown),spin magnetization (Bohr magnetons per cell),density (g/cm3)
1,-32.6,0.000,7.03
2,-26.1,0.000,4.13
3,-62.2,0.000,9.86
4,-209.2,0.000,6.36
5,-129.7,0.000,8.08
6,-31.2,0.000,11.78
7,-31.6,0.000,10.78
8,-228.3,0.008,3.46
9,-37.7,1.242,6.00
10,-26.4,0.000,8.33
11,-20.3,0.149,9.26
12,-47.1,0.000,8.68
13,-16.5,0.824,8.51
14,-39.0,0.000,6.11
15,-22.1,0.000,5.65
16,-34.1,1.580,9.62
17,-110.5,0.000,11.79
18,-278.8,0.000,4.03
19,-34.5,0.001,9.75
20,-110.2,0.000,7.93